# PBE Nd3ZnRu2, optimized geometry
# Calculated formation energy   -0.182 eV/atom
# Energy   -35.220 eV per formula unit
# Crystal system   trigonal
data_Nd3ZnRu2
_cell_length_a 7.111
_cell_length_b 7.111
_cell_length_c 7.111
_cell_angle_alpha 68.65
_cell_angle_beta 68.65
_cell_angle_gamma 68.65
_symmetry_space_group_name_H-M 'P 1'
_symmetry_Int_Tables_number 1
_symmetry_space_group_name_Hall 'P 1'
loop_
_atom_site_label
_atom_site_fract_x
_atom_site_fract_y
_atom_site_fract_z
_atom_site_occupancy
Nd1 0.058 0.750 0.442 1
Nd2 0.250 0.558 0.942 1
Nd3 0.442 0.058 0.750 1
Nd4 0.558 0.942 0.250 1
Nd5 0.750 0.442 0.058 1
Nd6 0.942 0.250 0.558 1
Zn1 0.000 0.000 0.000 1
Zn2 0.500 0.500 0.500 1
Ru1 0.158 0.158 0.158 1
Ru2 0.342 0.342 0.342 1
Ru3 0.658 0.658 0.658 1
Ru4 0.842 0.842 0.842 1